# 1
The following is a DFT calculation (meta-GGA SCAN) of a crystal of Ca2BiAu2 relaxed with PBEsol.

It has space group I4/mmm (No. 139), with a = 4.930 Å, b = 4.930 Å, c = 11.071 Å, α = 90.00°, β = 90.00° and γ = 90.00°. Symmetry generates all atoms from Ca at (0.000, 0.500, 0.250), Bi at (0.000, 0.000, 0.000) and Au at (0.000, 0.000, 0.383).

For the uncorrected energy, the calculation gives -47.885 eV/atom. Its crystal system is tetragonal. The total magnetization is 0.00 μB per formula unit. The value obtained for the energy relative to the elements is -0.641 eV/atom.

***

# 2
The following is a DFT calculation (meta-GGA SCAN) of a crystal of CrReIr2 relaxed with PBEsol.

It has space group I4/mmm (No. 139), with a = 3.779 Å, b = 3.779 Å, c = 7.581 Å, α = 90.00°, β = 90.00° and γ = 90.00°. Symmetry generates all atoms from Cr at (0.000, 0.000, 0.000), Re at (0.000, 0.000, 0.500) and Ir at (0.000, 0.500, 0.250).

For the uncorrected energy, the calculation gives -58.214 eV/atom. Its crystal system is tetragonal. The total magnetization is 0.82 μB per formula unit. The value obtained for the energy relative to the elements is -0.294 eV/atom.